# K2TaSi

An optimized crystal structure of K2TaSi (GGA-PBE, Alexandria via LeMat-Bulk).

```
data_K2TaSi
_symmetry_space_group_name_H-M 'P 1'
_symmetry_Int_Tables_number 1
_cell_length_a 4.521
_cell_length_b 4.521
_cell_length_c 10.509
_cell_angle_alpha 92.91
_cell_angle_beta 92.91
_cell_angle_gamma 38.84
loop_
_symmetry_equiv_pos_as_xyz
'x,y,z'
loop_
_atom_site_label
_atom_site_fract_x
_atom_site_fract_y
_atom_site_fract_z
K1 0.000 0.000 0.000
K2 0.225 0.225 0.590
Ta1 0.764 0.764 0.266
Si1 0.493 0.493 0.353
```

Properties
total DFT energy (no corrections) = -17.0 eV/cell